[1]
! LiNd3Th4S8 PBE relaxed; values from VASP
&SYSTEM
  ibrav = 0, nat = 16, ntyp = 4
/
ATOMIC_SPECIES
Li 6.94 Li.upf
Nd 144.24 Nd.upf
Th 232.04 Th.upf
S 32.06 S.upf
CELL_PARAMETERS angstrom
8.007 0.000 0.000
0.000 8.112 0.067
-4.003 -3.999 5.665
ATOMIC_POSITIONS crystal
Li 0.000 0.500 0.000
Nd 0.500 0.500 0.000
Nd 0.500 0.500 0.500
Nd 0.000 0.500 0.500
Th 0.500 0.000 0.000
Th 0.500 0.000 0.500
Th 0.000 0.000 0.000
Th 0.000 0.000 0.500
S 0.242 0.743 0.001
S 0.242 0.743 0.484
S 0.250 0.250 0.500
S 0.759 0.743 0.001
S 0.241 0.257 0.999
S 0.750 0.750 0.500
S 0.758 0.257 0.516
S 0.758 0.257 0.999
! **Calculated volume**: 23.1 Å³ per atom


[2]
! AcTe2Pd2 PBE relaxed; values from VASP
&SYSTEM
  ibrav = 0, nat = 10, ntyp = 3
/
ATOMIC_SPECIES
Ac 227.00 Ac.upf
Te 127.60 Te.upf
Pd 106.42 Pd.upf
CELL_PARAMETERS angstrom
4.973 0.000 0.000
0.000 4.973 0.000
0.000 0.000 10.106
ATOMIC_POSITIONS crystal
Ac 0.500 0.000 0.241
Ac 0.000 0.500 0.759
Te 0.500 0.500 0.500
Te 0.000 0.000 0.500
Te 0.000 0.500 0.125
Te 0.500 0.000 0.875
Pd 0.000 0.500 0.386
Pd 0.500 0.000 0.614
Pd 0.500 0.500 0.000
Pd 0.000 0.000 0.000
! **Calculated volume**: 25.0 Å³ per atom


One value per record, in order, for DFT total energy: -6.79 -5.03 eV per atom.
One value per record, in order, for formation energy without anion corrections: -1.858 -0.875 eV per atom.